This record from the Alexandria database describes a relaxed Tb2CoF8 crystal. The functional is GGA+U.

Geometry as extended XYZ:
```
11
Lattice="4.801 -3.576 0.000 4.801 3.576 0.000 -1.468 0.000 4.409" Properties=species:S:1:pos:R:3 pbc="T T T"
Tb 1.121 0.000 1.696
Tb 7.013 0.000 2.713
Co 4.801 0.000 0.000
F -0.417 0.000 3.511
F 2.304 1.375 3.218
F 3.157 0.000 1.050
F 5.830 1.375 1.191
F 2.304 -1.375 3.218
F 4.977 0.000 3.358
F 5.830 -1.375 1.191
F 8.551 0.000 0.898
```

The calculation puts the total energy at -68.63 eV/cell. The value obtained for the spin magnetization is 0.2727 μB/atom. The calculation puts the volume at 13.8 Å³ per atom. The space group is No. 12. The crystal system is monoclinic.